{
  "formula": "Dy2PtO",
  "functional": "GGA-PBE",
  "state": "relaxed",
  "vol_a3_per_cell": 76.2,
  "de_polymorph_kj_per_mol_fu": 43,
  "sg": "R-3m, No. 166",
  "crystal_system": "trigonal",
  "dft_energy_ev_per_atom": -6.90,
  "mass_density_kg_m3": 11675,
  "lattice_angstrom": [[-2.1291, -2.9448, 0.1240], [0.1820, -2.4877, -2.6455], [4.0619, -5.0739, 2.5520]],
  "species": ["O", "Pt", "Dy", "Dy"],
  "frac_coords": [[0.0000, 0.0000, 0.0000], [0.5000, 0.5000, 0.5000], [0.7379, 0.7379, 0.7863], [0.2621, 0.2621, 0.2137]]
}